Record 1
Computed, not measured: K3BaZn at its PBEsol-relaxed geometry at the meta-GGA SCAN level of DFT.

Structure (POSCAR):
```
K3BaZn
1.0
6.601 0.000 0.000
0.000 6.601 0.000
0.000 0.000 6.601
K Zn Ba
3 1 1
Cartesian
0.000 3.301 0.000
0.000 0.000 3.301
3.301 0.000 0.000
0.000 0.000 0.000
3.301 3.301 3.301
```

DOS(E_F)	4.83	states/eV per cell
total energy	-76.93	eV/cell
ΔH_f (0 K)	0.22	eV/atom

---

Record 2
Computed, not measured: KBaZr2 at its PBEsol-relaxed geometry at the meta-GGA SCAN level of DFT.

Structure (POSCAR):
```
KBaZr2
1.0
3.294 0.000 0.000
1.647 2.852 0.000
1.647 0.951 12.945
Ba K Zr
1 1 2
Cartesian
3.294 1.902 6.472
0.000 0.000 0.000
1.647 0.951 3.420
4.940 2.852 9.525
```

E above lowest polymorph	0	meV per atom
DOS(E_F)	5.51	states/eV per cell
total energy	-105.76	eV/cell
ΔH_f (0 K)	0.88	eV/atom

---

Record 3
Computed, not measured: KBaZr2 at its PBEsol-relaxed geometry at the meta-GGA SCAN level of DFT.

Structure (POSCAR):
```
KBaZr2
1.0
-1.095 -2.219 2.324
-2.288 -3.056 -3.995
5.402 -3.280 -0.585
Ba K Zr
1 1 2
Cartesian
2.153 -2.749 0.870
1.557 -3.168 -2.290
0.000 0.000 0.000
-1.692 -2.637 -0.836
```

E above lowest polymorph	45	meV per atom
DOS(E_F)	4.92	states/eV per cell
total energy	-105.58	eV/cell
ΔH_f (0 K)	0.92	eV/atom

---

Record 4
Computed, not measured: K4BaZr at its PBEsol-relaxed geometry at the meta-GGA SCAN level of DFT.

Structure (POSCAR):
```
K4BaZr
1.0
-3.723 5.221 -3.943
-6.449 2.834 2.656
-0.255 7.108 2.466
Ba K Zr
1 4 1
Cartesian
0.000 0.000 0.000
-3.927 5.712 0.444
-4.053 9.218 1.661
-5.764 8.287 -1.501
-7.109 7.110 1.754
-7.820 11.372 0.884
```

DOS(E_F)	6.66	states/eV per cell
total energy	-99.36	eV/cell
ΔH_f (0 K)	0.70	eV/atom

---

Record 5
Computed, not measured: KBaZr2 at its PBEsol-relaxed geometry at the meta-GGA SCAN level of DFT.

Structure (POSCAR):
```
KBaZr2
1.0
-2.482 4.030 -2.997
-4.647 2.465 1.927
0.174 5.314 1.765
Ba K Zr
1 1 2
Cartesian
-3.477 5.905 0.347
-1.739 2.952 0.174
0.000 0.000 0.000
-5.216 8.857 0.521
```

E above lowest polymorph	88	meV per atom
DOS(E_F)	2.91	states/eV per cell
total energy	-105.41	eV/cell
ΔH_f (0 K)	0.97	eV/atom

---

Record 6
Computed, not measured: KBa4Zr at its PBEsol-relaxed geometry at the meta-GGA SCAN level of DFT.

Structure (POSCAR):
```
KBa4Zr
1.0
-6.903 -1.127 -2.718
-1.559 -6.284 -3.795
-4.429 -5.229 3.058
Ba K Zr
4 1 1
Cartesian
-8.314 -5.288 -2.668
-4.809 -4.716 -1.289
-7.058 -7.371 0.264
-5.601 -7.906 -3.215
-9.668 -9.480 -2.590
0.000 0.000 0.000
```

DOS(E_F)	9.65	states/eV per cell
total energy	-193.04	eV/cell
ΔH_f (0 K)	0.70	eV/atom

---

Record 7
Computed, not measured: Ba8La at its PBEsol-relaxed geometry at the meta-GGA SCAN level of DFT.

Structure (POSCAR):
```
Ba8La
1.0
5.999 0.000 0.000
3.000 8.998 0.000
3.000 0.000 8.998
Ba La
8 1
Cartesian
3.000 0.000 2.886
5.999 0.000 6.112
5.999 2.939 2.939
3.000 2.886 0.000
3.000 2.939 6.059
5.999 6.112 0.000
5.999 6.059 6.059
3.000 6.059 2.939
0.000 0.000 0.000
```

DOS(E_F)	10.38	states/eV per cell
total energy	-358.65	eV/cell
ΔH_f (0 K)	0.10	eV/atom

---

Record 8
Computed, not measured: Ba3La at its PBEsol-relaxed geometry at the meta-GGA SCAN level of DFT.

Structure (POSCAR):
```
Ba3La
1.0
-3.628 -1.302 -1.078
0.389 -0.174 3.980
-4.724 12.338 1.000
Ba La
3 1
Cartesian
-1.255 3.277 0.266
-1.620 -0.738 1.451
-3.469 9.061 0.734
-3.982 5.431 1.951
```

DOS(E_F)	4.44	states/eV per cell
total energy	-161.24	eV/cell
ΔH_f (0 K)	0.13	eV/atom

---

Record 9
Computed, not measured: BaLa5 at its PBEsol-relaxed geometry at the meta-GGA SCAN level of DFT.

Structure (POSCAR):
```
BaLa5
1.0
5.970 0.000 0.000
0.000 6.536 0.000
0.000 -3.268 5.661
Ba La
1 5
Cartesian
2.985 0.000 0.000
0.000 1.226 2.123
0.000 4.085 0.000
0.000 -2.042 3.537
2.985 0.000 3.774
2.985 3.268 1.887
```

E above lowest polymorph	47	meV per atom
DOS(E_F)	8.66	states/eV per cell
total energy	-254.43	eV/cell
ΔH_f (0 K)	0.11	eV/atom

---

Record 10
Computed, not measured: Ba2La at its PBEsol-relaxed geometry at the meta-GGA SCAN level of DFT.

Structure (POSCAR):
```
Ba2La
1.0
-3.636 0.156 -0.870
-0.475 -2.043 -6.428
-1.867 -6.350 -1.381
Ba La
2 1
Cartesian
-1.397 -2.705 -2.694
-4.581 -5.533 -5.986
0.000 0.000 0.000
```

DOS(E_F)	4.99	states/eV per cell
total energy	-121.32	eV/cell
ΔH_f (0 K)	0.29	eV/atom

---

Record 11
Computed, not measured: BaLa2 at its PBEsol-relaxed geometry at the meta-GGA SCAN level of DFT.

Structure (POSCAR):
```
BaLa2
1.0
3.697 0.000 0.000
0.000 6.054 0.000
0.000 -3.027 5.243
Ba La
1 2
Cartesian
1.848 0.000 0.000
0.000 0.000 3.495
0.000 3.027 1.748
```

E above lowest polymorph	115	meV per atom
DOS(E_F)	4.87	states/eV per cell
total energy	-125.03	eV/cell
ΔH_f (0 K)	0.24	eV/atom

---

Record 12
Computed, not measured: BaLa2 at its PBEsol-relaxed geometry at the meta-GGA SCAN level of DFT.

Structure (POSCAR):
```
BaLa2
1.0
-1.294 3.559 0.067
-5.197 -1.842 -2.538
-3.394 -3.427 9.438
Ba La
2 4
Cartesian
-6.896 -0.560 3.641
-2.989 -1.150 3.327
-4.697 -1.707 -0.031
-7.573 -2.880 6.711
-2.312 1.170 0.256
-5.188 -0.003 6.998
```

E above lowest polymorph	0	meV per atom
DOS(E_F)	9.60	states/eV per cell
total energy	-250.75	eV/cell
ΔH_f (0 K)	0.13	eV/atom